# 1
# Tl3CuAs2O8

A relaxed structure of Tl3CuAs2O8 (GGA-PBE, the Alexandria database).

a b c (Å): 5.7369 5.7369 7.9441
angles (deg): 90.00 90.00 120.00
Each line ends with the local moment (μB).
Element x y z (fractional)
Tl  0.3333  0.6667  0.7477  0.04
Tl  0.6667  0.3333  0.2523  0.04
Tl  0.0000  0.0000  0.0000  0.00
Cu  0.0000  0.0000  0.5000  0.79
As  0.3333  0.6667  0.2836  0.01
As  0.6667  0.3333  0.7164  0.01
O  0.3333  0.6667  0.0680  0.15
O  0.6667  0.3333  0.9320  0.15
O  0.1644  0.8356  0.3401  0.12
O  0.8356  0.1644  0.6599  0.12
O  0.1644  0.3288  0.3401  0.12
O  0.8356  0.6712  0.6599  0.12
O  0.6712  0.8356  0.3401  0.12
O  0.3288  0.1644  0.6599  0.12

**ΔE_f (raw)**: -0.856 eV/atom
**Symmetry**: No. 164

# 2
# Tl2CuAsO4

A relaxed structure of Tl2CuAsO4 (GGA-PBE, the Alexandria database).

a b c (Å): 5.7817 6.4609 8.2718
angles (deg): 83.30 90.00 90.00
Element x y z (fractional)
Tl  0.9961  0.1325  0.8367
Tl  0.5066  0.2714  0.5182
Tl  0.4961  0.8675  0.1633
Tl  0.0066  0.7286  0.4818
Cu  0.3465  0.4257  0.9874
Cu  0.8465  0.5743  0.0126
As  0.0324  0.2229  0.2609
As  0.5324  0.7771  0.7391
O  0.8175  0.7282  0.8110
O  0.5568  0.8414  0.5331
O  0.8708  0.4515  0.2242
O  0.3708  0.5485  0.7758
O  0.9207  0.0216  0.1660
O  0.3175  0.2718  0.1890
O  0.0568  0.1586  0.4669
O  0.4207  0.9784  0.8340

**E above lowest polymorph**: 0.04 eV/f.u.
**ΔE_f (raw)**: -0.963 eV/atom
**Symmetry**: No. 4

# 3
# TlCuAsO2

A relaxed structure of TlCuAsO2 (GGA-PBE, the Alexandria database).

a b c (Å): 3.8842 5.3733 3.8842
angles (deg): 90.00 90.00 90.00
Each line ends with the local moment (μB).
Element x y z (fractional)
O  0.0000  0.0000  0.5000  0.27
O  0.5000  0.0000  0.0000  0.33
Tl  0.0000  0.5000  0.0000  0.00
As  0.5000  0.5000  0.5000  -0.03
Cu  0.0000  0.0000  0.0000  0.08

**ΔE_f (raw)**: 0.313 eV/atom
**Symmetry**: No. 123

# 4
# TlCuAs2O6

A relaxed structure of TlCuAs2O6 (GGA-PBE, the Alexandria database).

a b c (Å): 5.0153 8.5689 8.5689
angles (deg): 97.33 82.86 82.86
Each line ends with the local moment (μB).
Element x y z (fractional)
Tl  0.2500  0.8759  0.1241  0.00
Tl  0.7500  0.1241  0.8759  0.00
Cu  0.2500  0.3271  0.6729  0.09
Cu  0.7500  0.6729  0.3271  0.09
As  0.3427  0.7859  0.6349  0.00
As  0.1573  0.3651  0.2141  0.00
As  0.6573  0.2141  0.3651  0.00
As  0.8427  0.6349  0.7859  0.00
O  0.2901  0.9447  0.7751  0.00
O  0.2099  0.2249  0.0553  0.00
O  0.7099  0.0553  0.2249  0.00
O  0.7901  0.7751  0.9447  0.00
O  0.4554  0.8056  0.4439  0.01
O  0.0446  0.5561  0.1944  0.01
O  0.5446  0.1944  0.5561  0.01
O  0.9554  0.4439  0.8056  0.01
O  0.0385  0.6965  0.6173  0.00
O  0.4615  0.3827  0.3035  0.00
O  0.9615  0.3035  0.3827  0.00
O  0.5385  0.6173  0.6965  0.00

**ΔE_f (raw)**: -0.977 eV/atom
**Symmetry**: No. 15

# 5
# TlCuAsO4

A relaxed structure of TlCuAsO4 (GGA-PBE, the Alexandria database).

a b c (Å): 5.0832 5.0832 18.6697
angles (deg): 87.59 87.59 91.07
Element x y z (fractional)
Tl  0.1961  0.7823  0.5640
Tl  0.2177  0.8039  0.9360
Tl  0.8039  0.2177  0.4360
Tl  0.7823  0.1961  0.0640
Cu  0.6779  0.8232  0.7496
Cu  0.1768  0.3221  0.7504
Cu  0.3221  0.1768  0.2504
Cu  0.8232  0.6779  0.2496
As  0.6971  0.3409  0.6481
As  0.6591  0.3029  0.8519
As  0.3029  0.6591  0.3519
As  0.3409  0.6971  0.1481
O  0.8700  0.5145  0.7139
O  0.4855  0.1300  0.7861
O  0.1300  0.4855  0.2861
O  0.5145  0.8700  0.2139
O  0.2009  0.5474  0.4354
O  0.4526  0.7991  0.0646
O  0.7991  0.4526  0.5646
O  0.5474  0.2009  0.9354
O  0.3656  0.4125  0.6614
O  0.5875  0.6344  0.8386
O  0.6344  0.5875  0.3386
O  0.4125  0.3656  0.1614
O  0.7670  0.0103  0.6604
O  0.9897  0.2330  0.8396
O  0.2330  0.9897  0.3396
O  0.0103  0.7670  0.1604

**E above lowest polymorph**: 0.00 eV/f.u.
**ΔE_f (raw)**: -0.990 eV/atom
**Symmetry**: No. 15

# 6
# TlCu2AsO6

A relaxed structure of TlCu2AsO6 (GGA-PBE, the Alexandria database).

a b c (Å): 7.1898 6.8626 6.8626
angles (deg): 63.47 69.80 69.80
Each line ends with the local moment (μB).
Element x y z (fractional)
Tl  0.2500  0.7197  0.2803  0.00
Tl  0.7500  0.2803  0.7197  0.00
Cu  0.4028  0.7427  0.6595  0.35
Cu  0.0972  0.3405  0.2573  0.35
Cu  0.5972  0.2573  0.3405  0.35
Cu  0.9028  0.6595  0.7427  0.35
As  0.2500  0.1686  0.8314  0.01
As  0.7500  0.8314  0.1686  0.01
O  0.2654  0.8962  0.8718  0.04
O  0.2346  0.1282  0.1038  0.04
O  0.7346  0.1038  0.1282  0.04
O  0.7654  0.8718  0.8962  0.04
O  0.5426  0.7252  0.3553  0.03
O  0.9574  0.6447  0.2748  0.03
O  0.4574  0.2748  0.6447  0.03
O  0.0426  0.3553  0.7252  0.03
O  0.1522  0.7641  0.6007  0.12
O  0.3478  0.3993  0.2359  0.12
O  0.8478  0.2359  0.3993  0.12
O  0.6522  0.6007  0.7641  0.12

**ΔE_f (raw)**: -0.713 eV/atom
**Symmetry**: No. 15

# 7
# Tl2CuAsO4

A relaxed structure of Tl2CuAsO4 (GGA-PBE, the Alexandria database).

a b c (Å): 5.5195 8.8052 12.3965
angles (deg): 80.61 90.00 90.00
Element x y z (fractional)
Tl  0.7333  0.3155  0.8540
Tl  0.2333  0.6845  0.6460
Tl  0.7359  0.0090  0.1191
Tl  0.7641  0.0090  0.6191
Tl  0.2641  0.9910  0.8809
Tl  0.2667  0.6845  0.1460
Tl  0.7667  0.3155  0.3540
Tl  0.2359  0.9910  0.3809
Cu  0.1864  0.5118  0.4199
Cu  0.3136  0.5118  0.9199
Cu  0.8136  0.4882  0.5801
Cu  0.6864  0.4882  0.0801
As  0.7598  0.7159  0.8746
As  0.7402  0.7159  0.3746
As  0.2598  0.2841  0.6254
As  0.2402  0.2841  0.1254
O  0.9173  0.5868  0.8110
O  0.4460  0.7004  0.8512
O  0.1895  0.3198  0.9846
O  0.0827  0.4132  0.1890
O  0.9460  0.2996  0.6488
O  0.3377  0.0964  0.6751
O  0.6895  0.6802  0.5154
O  0.0540  0.7004  0.3512
O  0.8377  0.9036  0.8249
O  0.8105  0.6802  0.0154
O  0.4173  0.4132  0.6890
O  0.1623  0.0964  0.1751
O  0.5827  0.5868  0.3110
O  0.6623  0.9036  0.3249
O  0.3105  0.3198  0.4846
O  0.5540  0.2996  0.1488

**E above lowest polymorph**: 0.00 eV/f.u.
**ΔE_f (raw)**: -0.968 eV/atom
**Symmetry**: No. 14

# 8
# TlCuAsO4

A relaxed structure of TlCuAsO4 (GGA-PBE, the Alexandria database).

a b c (Å): 6.0248 6.0248 5.3713
angles (deg): 124.11 124.11 90.00
Each line ends with the local moment (μB).
Element x y z (fractional)
Tl  0.0000  0.0000  0.0000  0.03
Cu  0.5000  0.5000  0.0000  0.58
As  0.2500  0.7500  0.5000  0.01
O  0.2835  0.1087  0.7912  0.09
O  0.3175  0.7165  0.2088  0.09
O  0.5077  0.6825  0.7912  0.09
O  0.8913  0.4923  0.2088  0.09

**E above lowest polymorph**: 0.64 eV/f.u.
**ΔE_f (raw)**: -0.898 eV/atom
**Symmetry**: No. 82

# 9
# Tl2CuAsO4

A relaxed structure of Tl2CuAsO4 (GGA-PBE, the Alexandria database).

a b c (Å): 5.4356 6.2879 10.1401
angles (deg): 83.35 74.45 64.39
Element x y z (fractional)
Tl  0.1750  0.0000  0.6499
Tl  0.8250  0.0000  0.3501
Tl  0.5750  0.5000  0.8501
Tl  0.9250  0.5000  0.1499
Cu  0.7500  0.5000  0.5000
Cu  0.0000  0.0000  0.0000
As  0.2500  0.5000  0.5000
As  0.5000  0.0000  0.0000
O  0.3442  0.8198  0.0912
O  0.2553  0.1802  0.9088
O  0.8359  0.8198  0.9088
O  0.5645  0.1802  0.0912
O  0.4058  0.6802  0.4088
O  0.4947  0.3198  0.5912
O  0.9141  0.6802  0.5912
O  0.1855  0.3198  0.4088

**E above lowest polymorph**: 1.23 eV/f.u.
**ΔE_f (raw)**: -0.813 eV/atom
**Symmetry**: No. 70

# 10
# Tl2CuAs2O6

A relaxed structure of Tl2CuAs2O6 (GGA-PBE, the Alexandria database).

a b c (Å): 5.4794 6.8089 6.2411
angles (deg): 107.86 90.00 113.73
Each line ends with the local moment (μB).
Element x y z (fractional)
Tl  0.7342  0.4684  0.2195  0.00
Tl  0.2658  0.5316  0.7805  0.00
Cu  0.5000  0.0000  0.5000  0.48
As  0.9794  0.9587  0.7871  0.01
As  0.0206  0.0413  0.2129  0.01
O  0.8351  0.6703  0.6589  0.00
O  0.2044  0.8983  0.2594  0.07
O  0.3062  0.1017  0.7406  0.07
O  0.7956  0.1017  0.7406  0.07
O  0.6938  0.8983  0.2594  0.07
O  0.1649  0.3297  0.3411  0.00

**ΔE_f (raw)**: -0.933 eV/atom
**Symmetry**: No. 12

# 11
# TmCuAsO

A relaxed structure of TmCuAsO (GGA-PBE, the Alexandria database).

a b c (Å): 3.8221 3.8221 8.8403
angles (deg): 90.00 90.00 90.00
Element x y z (fractional)
Tm  0.5000  0.0000  0.6239
Tm  0.0000  0.5000  0.3761
Cu  0.5000  0.5000  0.0000
Cu  0.0000  0.0000  0.0000
As  0.0000  0.5000  0.8243
As  0.5000  0.0000  0.1757
O  0.0000  0.0000  0.5000
O  0.5000  0.5000  0.5000

**ΔE_f (raw)**: -1.739 eV/atom
**Symmetry**: No. 129

# 12
# UCuAsO6

A relaxed structure of UCuAsO6 (GGA-PBE, the Alexandria database).

a b c (Å): 5.2944 5.2944 9.0889
angles (deg): 90.00 90.00 120.00
Each line ends with the local moment (μB).
Element x y z (fractional)
U  0.6667  0.3333  0.2500  -0.09
U  0.3333  0.6667  0.7500  -0.09
Cu  0.0000  0.0000  0.0000  0.05
Cu  0.0000  0.0000  0.5000  0.05
As  0.3333  0.6667  0.2500  0.00
As  0.6667  0.3333  0.7500  0.00
O  0.6290  0.6628  0.1348  0.00
O  0.0339  0.3710  0.1348  0.00
O  0.3710  0.0339  0.6348  0.00
O  0.9661  0.6290  0.8652  0.00
O  0.3372  0.3710  0.3652  0.00
O  0.0339  0.6628  0.3652  0.00
O  0.6628  0.0339  0.8652  0.00
O  0.6290  0.9661  0.3652  0.00
O  0.9661  0.3372  0.6348  0.00
O  0.3372  0.9661  0.1348  0.00
O  0.6628  0.6290  0.6348  0.00
O  0.3710  0.3372  0.8652  0.00

**ΔE_f (raw)**: -1.686 eV/atom
**Symmetry**: No. 163

# 13
# U2Cu2As3O

A relaxed structure of U2Cu2As3O (GGA-PBE, the Alexandria database).

a b c (Å): 3.9030 3.9030 18.0529
angles (deg): 90.00 90.00 90.00
Each line ends with the local moment (μB).
Element x y z (fractional)
U  0.5000  0.0000  0.6259  2.13
U  0.5000  0.0000  0.0702  2.21
U  0.0000  0.5000  0.9298  2.21
U  0.0000  0.5000  0.3741  2.13
Cu  0.0000  0.0000  0.7691  -0.02
Cu  0.5000  0.5000  0.7691  -0.02
Cu  0.0000  0.0000  0.2309  -0.02
Cu  0.5000  0.5000  0.2309  -0.02
As  0.0000  0.5000  0.1484  -0.06
As  0.0000  0.5000  0.6774  -0.05
As  0.5000  0.0000  0.3226  -0.05
As  0.5000  0.0000  0.8516  -0.06
As  0.5000  0.5000  0.5000  -0.03
As  0.0000  0.0000  0.5000  -0.03
O  0.5000  0.5000  0.0000  -0.08
O  0.0000  0.0000  0.0000  -0.08

**ΔE_f (raw)**: -1.006 eV/atom
**Symmetry**: No. 129

# 14
# Zn2CuAsO6

A relaxed structure of Zn2CuAsO6 (GGA-PBE, the Alexandria database).

a b c (Å): 5.4139 6.3870 6.3870
angles (deg): 83.57 88.26 88.26
Element x y z (fractional)
Zn  0.2116  0.7804  0.5809
Zn  0.2884  0.4191  0.2196
Zn  0.7884  0.2196  0.4191
Zn  0.7116  0.5809  0.7804
Cu  0.2500  0.9146  0.0854
Cu  0.7500  0.0854  0.9146
As  0.2500  0.2544  0.7456
As  0.7500  0.7456  0.2544
O  0.1441  0.9736  0.8036
O  0.3559  0.1964  0.0264
O  0.8559  0.0264  0.1964
O  0.6441  0.8036  0.9736
O  0.4304  0.8548  0.3344
O  0.0696  0.6656  0.1452
O  0.5696  0.1452  0.6656
O  0.9304  0.3344  0.8548
O  0.8573  0.7363  0.5209
O  0.6427  0.4791  0.2637
O  0.1427  0.2637  0.4791
O  0.3573  0.5209  0.7363

**ΔE_f (raw)**: -1.088 eV/atom
**Symmetry**: No. 15

# 15
# ZnCuAsO5

A relaxed structure of ZnCuAsO5 (GGA-PBE, the Alexandria database).

a b c (Å): 5.8274 8.7036 8.8494
angles (deg): 90.00 90.00 90.00
Element x y z (fractional)
Zn  0.0000  0.8495  0.3908
Zn  0.0000  0.1505  0.6092
Zn  0.5000  0.3495  0.1092
Zn  0.5000  0.6505  0.8908
Cu  0.7458  0.0000  0.0000
Cu  0.2542  0.0000  0.0000
Cu  0.7542  0.5000  0.5000
Cu  0.2458  0.5000  0.5000
As  0.0000  0.7735  0.7550
As  0.0000  0.2265  0.2450
As  0.5000  0.2735  0.7450
As  0.5000  0.7265  0.2550
O  0.0000  0.9060  0.6102
O  0.0000  0.0940  0.3898
O  0.5000  0.4060  0.8898
O  0.5000  0.5940  0.1102
O  0.0000  0.8761  0.9299
O  0.0000  0.1239  0.0701
O  0.5000  0.3761  0.5701
O  0.5000  0.6239  0.4299
O  0.7605  0.6631  0.7502
O  0.2395  0.3369  0.2498
O  0.7605  0.3369  0.2498
O  0.7395  0.1631  0.7498
O  0.2395  0.6631  0.7502
O  0.2605  0.8369  0.2502
O  0.7395  0.8369  0.2502
O  0.2605  0.1631  0.7498
O  0.0000  0.6136  0.4319
O  0.0000  0.3864  0.5681
O  0.5000  0.1136  0.0681
O  0.5000  0.8864  0.9319

**ΔE_f (raw)**: -1.017 eV/atom
**Symmetry**: No. 58

# 16
# Zn2CuAs2O8

A relaxed structure of Zn2CuAs2O8 (GGA-PBE, the Alexandria database).

a b c (Å): 5.1566 5.4163 6.8555
angles (deg): 110.10 87.30 112.31
Each line ends with the local moment (μB).
Element x y z (fractional)
Zn  0.7729  0.2560  0.8111  0.01
Zn  0.2271  0.7440  0.1889  0.01
Cu  0.5000  0.5000  0.5000  0.61
As  0.1362  0.8519  0.7237  0.00
As  0.8638  0.1481  0.2763  0.00
O  0.7331  0.2971  0.5075  0.07
O  0.2669  0.7029  0.4925  0.07
O  0.6279  0.8110  0.1514  0.01
O  0.3721  0.1890  0.8486  0.01
O  0.9124  0.3535  0.1225  0.00
O  0.8179  0.8698  0.6655  0.08
O  0.1821  0.1302  0.3345  0.08
O  0.0876  0.6465  0.8775  0.00

**ΔE_f (raw)**: -1.195 eV/atom
**Symmetry**: No. 2

no.,calculated volume (Å³ per atom)
1,16.17
2,19.18
3,16.21
4,17.94
5,17.19
6,13.84
7,18.57
8,16.96
9,18.82
10,18.26
11,16.14
12,12.26
13,17.19
14,10.96
15,14.03
16,12.74